This record from Alexandria describes a relaxed structure of Li7Mn2Co3O12. The functional is PBE with a Hubbard U.

Properties
* distance to the lowest polymorph of the same formula: 0.018 eV/atom
* energy: -141.09 eV for the cell shown
* total magnetic moment: 12.000 μB per cell
* SG: P-1

Unit cell a=4.998 b=5.178 c=8.628 alpha=74.43 beta=85.71 gamma=78.72
Site moments in Bohr magnetons follow the coordinates.
Fractional coordinates of all 24 atoms:
Co (0.494, 0.815, 0.673)  1.86
Co (0.000, 0.000, 0.500)  1.91
Co (0.506, 0.185, 0.327)  1.86
O (0.642, 0.192, 0.527)  0.07
O (0.366, 0.135, 0.142)  -0.01
O (0.894, 0.317, 0.961)  -0.07
O (0.634, 0.865, 0.858)  -0.01
O (0.140, 0.372, 0.364)  0.01
O (0.650, 0.536, 0.209)  0.08
O (0.879, 0.006, 0.288)  -0.12
O (0.121, 0.994, 0.712)  -0.12
O (0.106, 0.683, 0.039)  -0.07
O (0.350, 0.464, 0.791)  0.08
O (0.860, 0.628, 0.636)  0.01
O (0.358, 0.808, 0.473)  0.07
Li (0.736, 0.910, 0.085)  0.01
Li (0.264, 0.090, 0.915)  0.01
Li (0.734, 0.246, 0.755)  0.00
Li (0.747, 0.580, 0.421)  0.00
Li (0.266, 0.754, 0.245)  0.00
Li (0.253, 0.420, 0.579)  0.00
Li (0.500, 0.500, 0.000)  0.01
Mn (0.999, 0.654, 0.835)  3.14
Mn (0.001, 0.346, 0.165)  3.14